Computed, not measured: Zn2Rh after structural relaxation at the PBE-GGA level of DFT.

The structure in CIF format:
```
data_Zn2Rh
_cell_length_a 4.895
_cell_length_b 4.895
_cell_length_c 4.895
_cell_angle_alpha 60.00
_cell_angle_beta 60.00
_cell_angle_gamma 60.00
_space_group_name_H-M_alt 'P 1'
_space_group_IT_number 1
loop_
_space_group_symop_operation_xyz
'x,y,z'
loop_
_atom_site_label
_atom_site_fract_x
_atom_site_fract_y
_atom_site_fract_z
_atom_site_occupancy
Zn1 0.000 0.000 0.000 1
Zn2 0.000 0.000 0.500 1
Zn3 0.000 0.500 0.000 1
Zn4 0.500 0.000 0.000 1
Rh1 0.375 0.375 0.375 1
Rh2 0.625 0.625 0.625 1
```

**Magnetic moment**: 0.00 μB per atom
**SG**: No. 227
**DOS(E_F)**: 3.2 states/eV per cell
**Energy of formation**: -0.157 eV/atom
**Total energy**: -0.1270 hartree per atom
**Density**: 9.36 g/cm³